TcAgPd14 | PBE-GGA | relaxed

CIF file:
```
data_TcAgPd14
_symmetry_space_group_name_H-M 'P 4/m m m'
_symmetry_Int_Tables_number 123
_symmetry_space_group_name_Hall '-P 4 2'
_cell_length_a 5.607
_cell_length_b 5.607
_cell_length_c 7.848
_cell_angle_alpha 90.00
_cell_angle_beta 90.00
_cell_angle_gamma 90.00
loop_
_atom_site_label
_atom_site_type_symbol
_atom_site_fract_x
_atom_site_fract_y
_atom_site_fract_z
_atom_site_occupancy
Tc1 Tc 0.000 0.000 0.000 1
Ag1 Ag 0.500 0.500 0.000 1
Pd1 Pd 0.000 0.000 0.500 1
Pd2 Pd 0.000 0.500 0.000 1
Pd3 Pd 0.000 0.500 0.500 1
Pd4 Pd 0.245 0.245 0.247 1
Pd5 Pd 0.500 0.500 0.500 1
```

Computed properties:
Calculated total energy: -5.3481 eV per atom
V: 15.4 Å³/atom
Calculated density: 11.4 g cm⁻³
Total magnetic moment: 0.0 Bohr magnetons per cell
Formation energy from the elements: 0.022 eV per atom
DOS at the Fermi energy: 1.7582 states/eV per atom